MgIr | GGA-PBE | relaxed

Values from the calculation:
ΔH_f (0 K) = 0.667 eV per atom
M_tot = 0.00 μB per formula unit

Cell: 3.9388 3.9388 5.3344 Å, 90.00 90.00 120.00°
Last column: nearest neighbours and their distance in Å.
Space group P6_3/mmc (No. 194)
Unique sites:
Mg 0.0000 0.0000 0.0000 [2 per cell]  6 Ir 2.64, 2 Mg 2.67
Ir 0.3333 0.6667 0.2500 [2 per cell]  6 Mg 2.64


MgIr | GGA-PBE | relaxed

Values from the calculation:
ΔH_f (0 K) = -0.243 eV per atom
M_tot = 0.00 μB per formula unit

Cell: 2.8870 2.8870 4.2865 Å, 90.00 90.00 120.00°
Last column: nearest neighbours and their distance in Å.
Space group P-6m2 (No. 187)
Unique sites:
Mg 0.0000 0.0000 0.0000 [1 per cell]  6 Ir 2.72, 6 Mg 2.89
Ir 0.6667 0.3333 0.5000 [1 per cell]  6 Mg 2.72, 6 Ir 2.89


MgIr2 | GGA-PBE | relaxed

Values from the calculation:
ΔH_f (0 K) = 0.062 eV per atom
M_tot = 0.00 μB per formula unit

Cell: 7.5336 7.5336 2.7522 Å, 90.00 90.00 120.00°
Last column: nearest neighbours and their distance in Å.
Space group P-62m (No. 189)
Unique sites:
Mg 0.0000 0.0000 0.0000 [1 per cell]  9 Ir 2.69-2.70, 2 Mg 2.75
Mg 0.3333 0.6667 0.5000 [2 per cell]  9 Ir 2.61-2.79, 2 Mg 2.75
Ir 0.0000 0.3586 0.0000 [3 per cell]  5 Mg 2.70-2.79, 8 Ir 2.75-2.88
Ir 0.0000 0.6925 0.5000 [3 per cell]  4 Mg 2.61-2.69, 8 Ir 2.75-2.88


MgIr | GGA-PBE | relaxed

Values from the calculation:
ΔH_f (0 K) = 0.830 eV per atom
M_tot = 0.49 μB per formula unit

Cell: 8.0865 8.0865 8.0865 Å, 90.00 90.00 90.00°
Last column: nearest neighbours and their distance in Å.
Space group I-43m (No. 217)
Unique sites:
Mg 0.1988 0.1988 0.1988 [8 per cell]  4 Ir 2.64-2.71
Ir 0.1128 0.1128 0.8872 [8 per cell]  3 Ir 2.58, 4 Mg 2.64-2.71


MgIr | GGA-PBE | relaxed

Values from the calculation:
ΔH_f (0 K) = 0.120 eV per atom
M_tot = 0.11 μB per formula unit

Cell: 8.9699 8.9699 3.9965 Å, 90.00 90.00 90.00°
Last column: nearest neighbours and their distance in Å.
Space group P4/m (No. 83)
Unique sites:
Mg 0.0432 0.7556 0.0000 [4 per cell]  2 Ir 2.64
Mg 0.2297 0.3240 0.5000 [4 per cell]  2 Ir 2.49-2.58
Ir 0.1118 0.5758 0.5000 [4 per cell]  3 Ir 2.42-2.65, 4 Mg 2.49-2.64
Ir 0.3046 0.5526 0.0000 [4 per cell]  4 Ir 2.57-2.65, 2 Mg 2.80


MgIr | GGA-PBE | relaxed

Values from the calculation:
ΔH_f (0 K) = -0.058 eV per atom
M_tot = 0.00 μB per formula unit

Cell: 4.3430 4.3430 4.8294 Å, 90.00 90.00 120.00°
Last column: nearest neighbours and their distance in Å.
Space group P6_3/mmc (No. 194)
Unique sites:
Mg 0.3333 0.6667 0.2500 [2 per cell]  6 Ir 2.78
Ir 0.0000 0.0000 0.0000 [2 per cell]  2 Ir 2.41


MgIr2 | GGA-PBE | relaxed

Values from the calculation:
ΔH_f (0 K) = 0.137 eV per atom
M_tot = 0.00 μB per formula unit

Cell: 3.8375 3.8375 15.4310 Å, 90.00 90.00 90.00°
Last column: nearest neighbours and their distance in Å.
Space group I4_1/amd (No. 141, origin choice 2)
Unique sites:
Mg 0.0000 0.2500 0.3750 [4 per cell]  12 Ir 2.96-3.29
Ir 0.0000 0.2500 0.7984 [8 per cell]  3 Ir 2.36-2.43


Mg7Ir | GGA-PBE | relaxed

Values from the calculation:
ΔH_f (0 K) = -0.036 eV per atom
M_tot = 0.00 μB per formula unit

Cell: 8.5639 8.5639 8.5639 Å, 90.00 90.00 90.00°
Last column: nearest neighbours and their distance in Å.
Space group Fm-3m (No. 225)
Unique sites:
Mg 0.0000 0.0000 0.0000 [4 per cell]  12 Mg 3.03
Mg 0.0000 0.2500 0.2500 [24 per cell]  10 Mg 3.03, 2 Ir 3.03
Ir 0.0000 0.0000 0.5000 [4 per cell]  12 Mg 3.03


Mg44Ir7 | GGA-PBE | relaxed

Values from the calculation:
ΔH_f (0 K) = -0.214 eV per atom
M_tot = 0.00 μB per formula unit

Cell: 20.0948 20.0948 20.0948 Å, 90.00 90.00 90.00°
Last column: nearest neighbours and their distance in Å.
Space group F-43m (No. 216)
Unique sites:
Mg 0.0000 0.0000 0.1058 [24 per cell]  2 Ir 2.81, 10 Mg 2.96-3.03
Mg 0.0302 0.1530 0.6530 [48 per cell]  6 Mg 2.86-3.15, 2 Ir 3.14
Mg 0.0346 0.1423 0.1423 [48 per cell]  2 Ir 2.75-2.95, 9 Mg 2.92-3.07
Mg 0.0538 0.0538 0.5538 [16 per cell]  3 Ir 2.69, 6 Mg 2.86-2.87
Mg 0.0560 0.0560 0.7698 [48 per cell]  2 Ir 2.66-2.91, 1 Mg 2.96
Mg 0.0701 0.2500 0.2500 [24 per cell]  8 Mg 2.96-3.22, 2 Ir 3.06
Mg 0.0828 0.0828 0.4172 [16 per cell]  3 Ir 2.86, 9 Mg 2.87-3.02
Mg 0.0879 0.1978 0.8022 [48 per cell]  1 Ir 2.83, 8 Mg 2.92-3.12
Mg 0.0926 0.0926 0.2704 [48 per cell]  2 Ir 2.95-2.96, 10 Mg 2.96-3.22
Mg 0.1881 0.1881 0.6881 [16 per cell]  9 Mg 3.06-3.33
Mg 0.1980 0.1980 0.3020 [16 per cell]  3 Ir 2.86, 9 Mg 2.96-3.06
Ir 0.0000 0.0000 0.3362 [24 per cell]  8 Mg 2.66-2.95
Ir 0.0987 0.0987 0.9013 [16 per cell]  12 Mg 2.81-2.95
Ir 0.1668 0.1668 0.1668 [16 per cell]  12 Mg 2.75-3.06


Mg3Ir | GGA-PBE | relaxed

Values from the calculation:
ΔH_f (0 K) = -0.213 eV per atom
M_tot = 0.00 μB per formula unit

Cell: 4.1176 4.1176 4.1176 Å, 90.00 90.00 90.00°
Last column: nearest neighbours and their distance in Å.
Space group Pm-3m (No. 221)
Unique sites:
Mg 0.0000 0.0000 0.5000 [3 per cell]  4 Ir 2.91, 8 Mg 2.91
Ir 0.5000 0.5000 0.5000 [1 per cell]  12 Mg 2.91